# 1
A relaxed NdCdHgBi crystal, computed with PBE.

Polymorph energy (0 for the lowest one) ... 0 meV per atom
E_form ... -0.464 eV/atom
Space group ... No. 47

a = 4.537 Å, b = 4.703 Å, c = 5.117 Å
α = 90.00°, β = 90.00°, γ = 90.00°
Sites, in units of the cell vectors:
Nd1 0.000 0.000 0.000
Cd1 0.000 0.500 0.500
Hg1 0.500 0.000 0.500
Bi1 0.500 0.500 0.000

# 2
A relaxed NdCdHgBi crystal, computed with PBE.

Polymorph energy (0 for the lowest one) ... 166 meV per atom
E_form ... -0.298 eV/atom
Space group ... No. 216

a = 5.416 Å, b = 5.416 Å, c = 5.416 Å
α = 60.00°, β = 60.00°, γ = 60.00°
Sites, in units of the cell vectors:
Nd1 0.000 0.000 0.000
Cd1 0.500 0.500 0.500
Hg1 0.250 0.250 0.250
Bi1 0.750 0.750 0.750

# 3
A relaxed CdNiHg2Bi crystal, computed with PBE.

E_form ... 0.164 eV/atom
Space group ... No. 123

a = 5.110 Å, b = 5.110 Å, c = 5.052 Å
α = 90.00°, β = 90.00°, γ = 90.00°
Sites, in units of the cell vectors:
Cd1 0.000 0.000 0.000
Ni1 0.500 0.500 0.500
Hg1 0.000 0.500 0.500
Hg2 0.500 0.000 0.500
Bi1 0.500 0.500 0.000

- Which formula does entry 3 have?
  CdNiHg2Bi

Repeat the first record exactly.
A relaxed NdCdHgBi crystal, computed with PBE.

Polymorph energy (0 for the lowest one) ... 0 meV per atom
E_form ... -0.464 eV/atom
Space group ... No. 47

a = 4.537 Å, b = 4.703 Å, c = 5.117 Å
α = 90.00°, β = 90.00°, γ = 90.00°
Sites, in units of the cell vectors:
Nd1 0.000 0.000 0.000
Cd1 0.000 0.500 0.500
Hg1 0.500 0.000 0.500
Bi1 0.500 0.500 0.000

Please write out number 3 again, unchanged.
A relaxed CdNiHg2Bi crystal, computed with PBE.

E_form ... 0.164 eV/atom
Space group ... No. 123

a = 5.110 Å, b = 5.110 Å, c = 5.052 Å
α = 90.00°, β = 90.00°, γ = 90.00°
Sites, in units of the cell vectors:
Cd1 0.000 0.000 0.000
Ni1 0.500 0.500 0.500
Hg1 0.000 0.500 0.500
Hg2 0.500 0.000 0.500
Bi1 0.500 0.500 0.000

- What is the formula in the third record?
  CdNiHg2Bi